# 1
DFT (PBE) results for a relaxed structure of Pm12Mg3Cu5.

magnetization: 0.008 μB/f.u.
space-group type: No. 230
calculated total energy: -3.7785 eV/atom
formation energy from the elements: 0.3351 eV per atom

Cell lengths 15.1247, 15.1247, 15.1247 Å; angles 109.47, 109.47, 109.47 degrees
Fractional coordinates of all 80 atoms:
Cu: 0.1250 0.3750 0.2500
Cu: 0.7500 0.6250 0.3750
Cu: 0.8750 0.2500 0.6250
Cu: 0.6250 0.8750 0.2500
Cu: 0.6250 0.7500 0.8750
Cu: 0.0000 0.5000 0.5000
Cu: 0.8750 0.6250 0.7500
Cu: 0.0000 0.0000 0.0000
Cu: 0.0000 0.5000 0.0000
Cu: 0.5000 0.0000 0.0000
Cu: 0.5000 0.5000 0.0000
Cu: 0.2500 0.3750 0.6250
Cu: 0.5000 0.0000 0.5000
Cu: 0.5000 0.5000 0.5000
Cu: 0.3750 0.1250 0.7500
Cu: 0.2500 0.8750 0.1250
Cu: 0.0000 0.0000 0.5000
Cu: 0.7500 0.1250 0.8750
Cu: 0.1250 0.7500 0.3750
Cu: 0.3750 0.2500 0.1250
Mg: 0.2500 0.1250 0.3750
Mg: 0.6250 0.2500 0.3750
Mg: 0.6250 0.3750 0.7500
Mg: 0.1250 0.2500 0.8750
Mg: 0.7500 0.3750 0.1250
Mg: 0.3750 0.7500 0.6250
Mg: 0.2500 0.6250 0.8750
Mg: 0.7500 0.8750 0.6250
Mg: 0.8750 0.1250 0.2500
Mg: 0.3750 0.6250 0.2500
Mg: 0.1250 0.8750 0.7500
Mg: 0.8750 0.7500 0.1250
Pm: 0.0366 0.4176 0.8265
Pm: 0.3810 0.9634 0.7899
Pm: 0.5911 0.7101 0.6735
Pm: 0.9634 0.3810 0.2899
Pm: 0.9089 0.0824 0.6190
Pm: 0.2101 0.6735 0.0911
Pm: 0.1735 0.0911 0.7101
Pm: 0.5366 0.3265 0.9176
Pm: 0.6190 0.0366 0.2101
Pm: 0.2899 0.4089 0.8265
Pm: 0.2899 0.8810 0.9634
Pm: 0.5824 0.9634 0.6735
Pm: 0.8810 0.2899 0.4634
Pm: 0.0824 0.9089 0.1190
Pm: 0.5911 0.8810 0.4176
Pm: 0.3265 0.7899 0.4089
Pm: 0.9176 0.8265 0.5366
Pm: 0.8265 0.9089 0.2899
Pm: 0.6735 0.2101 0.5911
Pm: 0.1190 0.7101 0.5366
Pm: 0.6190 0.5824 0.9089
Pm: 0.3265 0.5366 0.4176
Pm: 0.4634 0.6735 0.0824
Pm: 0.2101 0.5366 0.6190
Pm: 0.0366 0.6190 0.7101
Pm: 0.1190 0.4089 0.0824
Pm: 0.7101 0.1190 0.0366
Pm: 0.8810 0.5911 0.9176
Pm: 0.4176 0.0366 0.3265
Pm: 0.6735 0.4634 0.5824
Pm: 0.4176 0.3810 0.5911
Pm: 0.1735 0.0824 0.9634
Pm: 0.0911 0.9176 0.3810
Pm: 0.5366 0.2101 0.1190
Pm: 0.4634 0.7899 0.8810
Pm: 0.9176 0.0911 0.8810
Pm: 0.8265 0.9176 0.0366
Pm: 0.0824 0.1735 0.4634
Pm: 0.7101 0.5911 0.1735
Pm: 0.9634 0.5824 0.1735
Pm: 0.5824 0.6190 0.4089
Pm: 0.7899 0.3265 0.9089
Pm: 0.0911 0.1735 0.2101
Pm: 0.4089 0.2899 0.3265
Pm: 0.7899 0.4634 0.3810
Pm: 0.3810 0.4176 0.0911
Pm: 0.4089 0.1190 0.5824
Pm: 0.9089 0.8265 0.7899

# 2
DFT (PBE) results for a relaxed structure of Ba2GaSnP.

magnetization: 0.000 μB/f.u.
space-group type: No. 11
calculated total energy: -4.0183 eV/atom
formation energy from the elements: -0.7613 eV per atom

Cell lengths 4.6238, 7.9379, 10.1570 Å; angles 107.69, 90.00, 90.00 degrees
Fractional coordinates of all 10 atoms:
Ga: 0.2500 0.5196 0.7424
Ga: 0.7500 0.4804 0.2576
Ba: 0.2500 0.2318 0.9688
Ba: 0.7500 0.8010 0.6033
Ba: 0.2500 0.1990 0.3967
Ba: 0.7500 0.7682 0.0312
P: 0.7500 0.1748 0.1741
P: 0.2500 0.8252 0.8259
Sn: 0.7500 0.3249 0.6999
Sn: 0.2500 0.6751 0.3001

# 3
DFT (PBE) results for a relaxed structure of Sr2Br.

magnetization: 0.264 μB/f.u.
space-group type: No. 189
calculated total energy: -2.4182 eV/atom

Cell lengths 10.3064, 10.3064, 4.1959 Å; angles 90.00, 90.00, 120.00 degrees
Fractional coordinates of all 9 atoms:
Br: 0.3333 0.6667 0.0000
Br: 0.6667 0.3333 0.0000
Br: 0.0000 0.0000 0.5000
Sr: 0.2430 0.0000 0.0000
Sr: 0.5799 0.0000 0.5000
Sr: 0.4201 0.4201 0.5000
Sr: 0.0000 0.2430 0.0000
Sr: 0.7570 0.7570 0.0000
Sr: 0.0000 0.5799 0.5000

# 4
DFT (PBE) results for a relaxed structure of SnAs6.

magnetization: 0.000 μB/f.u.
space-group type: No. 229
calculated total energy: -4.1237 eV/atom
formation energy from the elements: 0.4334 eV per atom

Cell lengths 6.3393, 6.3393, 6.3393 Å; angles 109.47, 109.47, 109.47 degrees
Fractional coordinates of all 7 atoms:
As: 0.7500 0.2500 0.5000
As: 0.2500 0.7500 0.5000
As: 0.2500 0.5000 0.7500
As: 0.5000 0.7500 0.2500
As: 0.7500 0.5000 0.2500
As: 0.5000 0.2500 0.7500
Sn: 0.0000 0.0000 0.0000

# 5
DFT (PBE) results for a relaxed structure of AlRe2W.

magnetization: 0.000 μB/f.u.
space-group type: No. 99
calculated total energy: -10.4336 eV/atom
formation energy from the elements: -0.0356 eV per atom

Cell lengths 2.8342, 2.8342, 7.5227 Å; angles 90.00, 90.00, 90.00 degrees
Fractional coordinates of all 4 atoms:
Re: 0.5000 0.5000 0.2360
Re: 0.0000 0.0000 0.0002
Al: 0.5000 0.5000 0.7604
W: 0.0000 0.0000 0.5033

# 6
DFT (PBE) results for a relaxed structure of NdSiAg2S4.

magnetization: 0.000 μB/f.u.
space-group type: No. 15
calculated total energy: -4.6771 eV/atom

Cell lengths 7.8381, 7.8381, 7.9427 Å; angles 120.49, 120.49, 93.09 degrees
Fractional coordinates of all 16 atoms:
S: 0.2985 0.7236 0.5113
S: 0.7506 0.7480 0.5295
S: 0.2237 0.7985 0.0113
S: 0.2494 0.2520 0.4705
S: 0.7520 0.7494 0.9705
S: 0.2480 0.2506 0.0295
S: 0.7764 0.2015 0.9887
S: 0.7015 0.2763 0.4887
Ag: 0.5000 0.5000 0.0000
Ag: 0.5000 0.0000 0.0000
Ag: 0.0000 0.0000 0.5000
Ag: 0.5000 0.0000 0.5000
Nd: 0.0000 0.5000 0.5000
Nd: 0.0000 0.5000 0.0000
Si: 0.0000 0.0000 0.0000
Si: 0.5000 0.5000 0.5000